LaPr2MgTl4: optimized geometry, GGA-PBE.

Structure (extended XYZ):
```
8
Lattice="5.4029 0.0000 0.0000 2.7014 4.6790 0.0000 2.7014 1.5597 9.3690" Properties=species:S:1:pos:R:3 pbc="T T T"
La 0.0000 0.0000 0.0000
Pr 8.1043 4.6790 6.7572
Pr 2.7014 1.5597 2.6118
Mg 5.4029 3.1194 4.6845
Tl 5.4029 3.1194 8.1482
Tl 8.1043 4.6790 3.4836
Tl 2.7014 1.5597 5.8854
Tl 5.4029 3.1194 1.2208
```

Energy of formation from the pure elements in eV per atom: -0.333
Size of the total moment in μB/f.u.: 0.00

---

MgAsAu2F: optimized geometry, GGA-PBE.

Structure (extended XYZ):
```
5
Lattice="5.1476 0.0000 0.0000 0.0000 3.5874 0.0000 0.0000 0.0000 5.1476" Properties=species:S:1:pos:R:3 pbc="T T T"
As 2.5738 1.7937 2.5738
Au 0.0000 0.0000 2.5738
Au 2.5738 0.0000 0.0000
Mg 0.0000 1.7937 0.0000
F 0.0000 0.0000 0.0000
```

Formation energy (no corrections) in eV/atom: -0.448
Size of the total moment in μB/f.u.: 0.00

---

Zr2MoW: optimized geometry, GGA-PBE.

Structure (extended XYZ):
```
4
Lattice="9.5038 0.0281 0.0165 8.9869 3.0919 0.0165 8.9869 1.5164 2.6945" Properties=species:S:1:pos:R:3 pbc="T T T"
Mo 13.5445 2.2854 1.3445
W 20.8194 3.5129 2.0667
Zr 0.1800 0.0304 0.0179
Zr 6.6724 1.1259 0.6623
```

Energy of formation from the pure elements in eV per atom: 0.259
Size of the total moment in μB/f.u.: 0.00

---

no.,N(E_F) (states/eV per cell)
1,5.67
2,1.33
3,3.96